First-principles (GGA-PBE) data for an optimized crystal structure of CuReNiB, as listed in the Open Quantum Materials Database.

The structure belongs to space group F-43m (No. 216); the cell edges are 5.597, 5.597 and 5.597 Å and the angles 90.00°, 90.00° and 90.00°. The distinct sites, in fractional coordinates, are Cu at (0.000, 0.000, 0.000), Re at (0.000, 0.000, 0.500), Ni at (0.250, 0.250, 0.250) and B at (0.250, 0.250, 0.750).

The relative energy among the computed polymorphs is 0 meV per atom. The calculation puts the volume at 175.3 Å³/cell. Its total moment is 0.044 μB per formula unit.